Here is a relaxed Cd2AgPt6 crystal from Alexandria. Energies are from PBE-GGA.

Calculated values
volume	17.9	Å³/atom
VASP energy	-81.37	eV per cell
M_tot	0.0	μB/f.u.
symmetry	C2/c
formation energy	2.6	kJ/mol of atoms

a = 6.304 Å, b = 6.304 Å, c = 8.960 Å
α = 103.63°, β = 103.63°, γ = 71.04°
Fractional coordinates of all 18 atoms:
Cd 0.055 0.728 0.997
Cd 0.272 0.945 0.503
Cd 0.728 0.055 0.497
Cd 0.945 0.272 0.003
Ag 0.434 0.566 0.250
Ag 0.566 0.434 0.750
Pt 0.052 0.316 0.710
Pt 0.064 0.711 0.642
Pt 0.289 0.936 0.858
Pt 0.316 0.052 0.210
Pt 0.324 0.395 0.456
Pt 0.395 0.324 0.956
Pt 0.605 0.676 0.044
Pt 0.676 0.605 0.544
Pt 0.684 0.948 0.790
Pt 0.711 0.064 0.142
Pt 0.936 0.289 0.358
Pt 0.948 0.684 0.290

Here is a relaxed Cd4AgPt2 crystal from Alexandria. Energies are from PBE-GGA.

Calculated values
volume	20.1	Å³/atom
VASP energy	-38.64	eV per cell
M_tot	0.0	μB/f.u.
symmetry	P2_1/m
formation energy	-10.0	kJ/mol of atoms

a = 7.052 Å, b = 5.700 Å, c = 7.636 Å
α = 90.00°, β = 113.85°, γ = 90.00°
Fractional coordinates of all 14 atoms:
Cd 0.039 0.250 0.399
Cd 0.125 0.750 0.292
Cd 0.400 0.002 0.770
Cd 0.400 0.498 0.770
Cd 0.600 0.502 0.230
Cd 0.600 0.998 0.230
Cd 0.875 0.250 0.708
Cd 0.961 0.750 0.601
Ag 0.192 0.250 0.078
Ag 0.808 0.750 0.922
Pt 0.235 0.750 0.985
Pt 0.460 0.250 0.479
Pt 0.540 0.750 0.521
Pt 0.765 0.250 0.015

Here is a relaxed CdAg2Pt crystal from Alexandria. Energies are from PBE-GGA.

Calculated values
volume	17.7	Å³/atom
VASP energy	-13.07	eV per cell
M_tot	0.0	μB/f.u.
symmetry	I4/mmm
formation energy	-10.0	kJ/mol of atoms

a = 5.120 Å, b = 5.120 Å, c = 5.120 Å
α = 132.83°, β = 132.83°, γ = 68.92°
Fractional coordinates of all 4 atoms:
Cd 0.000 0.000 0.000
Ag 0.250 0.750 0.500
Ag 0.750 0.250 0.500
Pt 0.500 0.500 0.000

Here is a relaxed Cd7AgPt4 crystal from Alexandria. Energies are from PBE-GGA.

Calculated values
volume	20.9	Å³/atom
VASP energy	-34.63	eV per cell
M_tot	0.0	μB/f.u.
symmetry	C2/m
formation energy	-9.7	kJ/mol of atoms

a = 6.966 Å, b = 6.966 Å, c = 9.688 Å
α = 124.20°, β = 124.20°, γ = 41.96°
Fractional coordinates of all 12 atoms:
Cd 0.000 0.000 0.000
Cd 0.171 0.171 0.611
Cd 0.286 0.286 0.132
Cd 0.430 0.430 0.657
Cd 0.570 0.570 0.343
Cd 0.714 0.714 0.868
Cd 0.829 0.829 0.389
Ag 0.500 0.500 0.000
Pt 0.064 0.064 0.779
Pt 0.196 0.196 0.341
Pt 0.804 0.804 0.659
Pt 0.936 0.936 0.221

Here is a relaxed Cd2AgPt crystal from Alexandria. Energies are from PBE-GGA.

Calculated values
volume	18.4	Å³/atom
VASP energy	-11.45	eV per cell
M_tot	0.0	μB/f.u.
symmetry	P4/mmm
formation energy	-17.7	kJ/mol of atoms

a = 2.990 Å, b = 2.990 Å, c = 8.254 Å
α = 90.00°, β = 90.00°, γ = 90.00°
Fractional coordinates of all 4 atoms:
Cd 0.000 0.000 0.237
Cd 0.000 0.000 0.763
Ag 0.500 0.500 0.500
Pt 0.500 0.500 0.000

Here is a relaxed PuCdAgPt crystal from Alexandria. Energies are from PBE-GGA.

Calculated values
volume	21.1	Å³/atom
VASP energy	-25.25	eV per cell
M_tot	5.4	μB/f.u.
symmetry	F-43m
formation energy	-26.7	kJ/mol of atoms

a = 4.926 Å, b = 4.926 Å, c = 4.926 Å
α = 60.00°, β = 60.00°, γ = 60.00°
Fractional coordinates of all 4 atoms:
Pu 0.000 0.000 0.000
Cd 0.500 0.500 0.500
Ag 0.250 0.250 0.250
Pt 0.750 0.750 0.750

Here is a relaxed Rb4Cd12AgPt3 crystal from Alexandria. Energies are from PBE-GGA.

Calculated values
volume	31.0	Å³/atom
VASP energy	-39.41	eV per cell
M_tot	0.0	μB/f.u.
symmetry	Im-3m
formation energy	-17.3	kJ/mol of atoms

a = 9.305 Å, b = 9.305 Å, c = 9.305 Å
α = 109.47°, β = 109.47°, γ = 109.47°
Fractional coordinates of all 20 atoms:
Rb 0.000 0.000 0.500
Rb 0.000 0.500 0.000
Rb 0.500 0.000 0.000
Rb 0.500 0.500 0.500
Cd 0.000 0.254 0.254
Cd 0.000 0.746 0.746
Cd 0.250 0.500 0.750
Cd 0.250 0.750 0.500
Cd 0.254 0.000 0.254
Cd 0.254 0.254 0.000
Cd 0.500 0.250 0.750
Cd 0.500 0.750 0.250
Cd 0.746 0.000 0.746
Cd 0.746 0.746 0.000
Cd 0.750 0.250 0.500
Cd 0.750 0.500 0.250
Ag 0.000 0.000 0.000
Pt 0.000 0.500 0.500
Pt 0.500 0.000 0.500
Pt 0.500 0.500 0.000

Here is a relaxed Rb2Cd6AgPt crystal from Alexandria. Energies are from PBE-GGA.

Calculated values
volume	30.9	Å³/atom
VASP energy	-34.92	eV per cell
M_tot	0.0	μB/f.u.
symmetry	Pmmn
formation energy	-11.0	kJ/mol of atoms

a = 7.675 Å, b = 10.588 Å, c = 7.612 Å
α = 90.00°, β = 90.00°, γ = 90.00°
Fractional coordinates of all 20 atoms:
Rb 0.250 0.023 0.233
Rb 0.250 0.477 0.233
Rb 0.750 0.523 0.767
Rb 0.750 0.977 0.767
Cd 0.016 0.250 0.924
Cd 0.041 0.750 0.534
Cd 0.250 0.000 0.722
Cd 0.250 0.500 0.722
Cd 0.459 0.750 0.534
Cd 0.484 0.250 0.924
Cd 0.516 0.750 0.076
Cd 0.541 0.250 0.466
Cd 0.750 0.000 0.278
Cd 0.750 0.500 0.278
Cd 0.959 0.250 0.466
Cd 0.984 0.750 0.076
Ag 0.250 0.750 0.835
Ag 0.750 0.250 0.165
Pt 0.250 0.250 0.662
Pt 0.750 0.750 0.338

Here is a relaxed Sc4CdAgPt2 crystal from Alexandria. Energies are from PBE-GGA.

Calculated values
volume	19.3	Å³/atom
VASP energy	-47.26	eV per cell
M_tot	0.0	μB/f.u.
symmetry	R-3m
formation energy	-73.4	kJ/mol of atoms

a = 8.275 Å, b = 8.275 Å, c = 8.275 Å
α = 33.55°, β = 33.55°, γ = 33.55°
Fractional coordinates of all 8 atoms:
Sc 0.123 0.123 0.123
Sc 0.373 0.373 0.373
Sc 0.627 0.627 0.627
Sc 0.877 0.877 0.877
Cd 0.500 0.500 0.500
Ag 0.000 0.000 0.000
Pt 0.247 0.247 0.247
Pt 0.753 0.753 0.753

Here is a relaxed CdSi2AgPt crystal from Alexandria. Energies are from PBE-GGA.

Calculated values
volume	22.8	Å³/atom
VASP energy	-18.95	eV per cell
energy relative to the elements, uncorrected	0.34	eV/atom
M_tot	0.0	μB/f.u.
symmetry	P4/mmm

a = 4.638 Å, b = 4.638 Å, c = 5.291 Å
α = 90.00°, β = 90.00°, γ = 90.00°
Fractional coordinates of all 5 atoms:
Cd 0.000 0.000 0.000
Si 0.000 0.500 0.500
Si 0.500 0.000 0.500
Ag 0.500 0.500 0.000
Pt 0.000 0.000 0.500

Here is a relaxed SmCdAgPt crystal from Alexandria. Energies are from PBE-GGA.

Calculated values
volume	21.2	Å³/atom
VASP energy	-16.71	eV per cell
M_tot	0.0	μB/f.u.
symmetry	F-43m
formation energy	-52.6	kJ/mol of atoms

a = 4.932 Å, b = 4.932 Å, c = 4.932 Å
α = 60.00°, β = 60.00°, γ = 60.00°
Fractional coordinates of all 4 atoms:
Sm 0.000 0.000 0.000
Cd 0.500 0.500 0.500
Ag 0.250 0.250 0.250
Pt 0.750 0.750 0.750

Here is a relaxed Sr2Cd12Ag3Pt crystal from Alexandria. Energies are from PBE-GGA.

Calculated values
volume	24.8	Å³/atom
VASP energy	-30.63	eV per cell
M_tot	0.0	μB/f.u.
symmetry	R-3m
formation energy	-9.1	kJ/mol of atoms

a = 14.395 Å, b = 14.395 Å, c = 14.395 Å
α = 24.39°, β = 24.39°, γ = 24.39°
Fractional coordinates of all 18 atoms:
Sr 0.148 0.148 0.148
Sr 0.852 0.852 0.852
Cd 0.106 0.106 0.626
Cd 0.106 0.626 0.106
Cd 0.114 0.612 0.612
Cd 0.374 0.894 0.894
Cd 0.388 0.388 0.886
Cd 0.388 0.886 0.388
Cd 0.612 0.114 0.612
Cd 0.612 0.612 0.114
Cd 0.626 0.106 0.106
Cd 0.886 0.388 0.388
Cd 0.894 0.374 0.894
Cd 0.894 0.894 0.374
Ag 0.000 0.500 0.500
Ag 0.500 0.000 0.500
Ag 0.500 0.500 0.000
Pt 0.500 0.500 0.500

Here is a relaxed Sr2CdAgPt crystal from Alexandria. Energies are from PBE-GGA.

Calculated values
volume	34.9	Å³/atom
VASP energy	-14.80	eV per cell
M_tot	0.0	μB/f.u.
symmetry	P4/mmm
formation energy	-31.3	kJ/mol of atoms

a = 5.785 Å, b = 5.785 Å, c = 5.221 Å
α = 90.00°, β = 90.00°, γ = 90.00°
Fractional coordinates of all 5 atoms:
Sr 0.000 0.500 0.000
Sr 0.500 0.000 0.000
Cd 0.000 0.000 0.500
Ag 0.500 0.500 0.500
Pt 0.000 0.000 0.000

Here is a relaxed Sr2Cd3Ag12Pt crystal from Alexandria. Energies are from PBE-GGA.

Calculated values
volume	24.0	Å³/atom
VASP energy	-45.20	eV per cell
M_tot	0.0	μB/f.u.
symmetry	R-3m
formation energy	6.2	kJ/mol of atoms

a = 10.878 Å, b = 10.878 Å, c = 10.878 Å
α = 37.73°, β = 37.73°, γ = 37.73°
Fractional coordinates of all 18 atoms:
Sr 0.152 0.152 0.152
Sr 0.848 0.848 0.848
Cd 0.000 0.500 0.500
Cd 0.500 0.000 0.500
Cd 0.500 0.500 0.000
Ag 0.078 0.078 0.686
Ag 0.078 0.686 0.078
Ag 0.151 0.571 0.571
Ag 0.314 0.922 0.922
Ag 0.429 0.429 0.849
Ag 0.429 0.849 0.429
Ag 0.571 0.151 0.571
Ag 0.571 0.571 0.151
Ag 0.686 0.078 0.078
Ag 0.849 0.429 0.429
Ag 0.922 0.314 0.922
Ag 0.922 0.922 0.314
Pt 0.500 0.500 0.500

Here is a relaxed SrCd3AgPt crystal from Alexandria. Energies are from PBE-GGA.

Calculated values
volume	24.9	Å³/atom
VASP energy	-29.32	eV per cell
M_tot	0.0	μB/f.u.
symmetry	Cmcm
formation energy	-21.6	kJ/mol of atoms

a = 7.797 Å, b = 7.797 Å, c = 6.064 Å
α = 90.00°, β = 90.00°, γ = 125.80°
Fractional coordinates of all 12 atoms:
Sr 0.230 0.770 0.750
Sr 0.770 0.230 0.250
Cd 0.201 0.201 0.000
Cd 0.201 0.201 0.500
Cd 0.357 0.643 0.250
Cd 0.643 0.357 0.750
Cd 0.799 0.799 0.000
Cd 0.799 0.799 0.500
Ag 0.152 0.848 0.250
Ag 0.848 0.152 0.750
Pt 0.437 0.563 0.750
Pt 0.563 0.437 0.250

Here is a relaxed SrCdAgPt crystal from Alexandria. Energies are from PBE-GGA.

Calculated values
volume	22.6	Å³/atom
VASP energy	-12.81	eV per cell
M_tot	0.0	μB/f.u.
symmetry	F-43m
formation energy	-32.0	kJ/mol of atoms

a = 5.037 Å, b = 5.037 Å, c = 5.037 Å
α = 60.00°, β = 60.00°, γ = 60.00°
Fractional coordinates of all 4 atoms:
Sr 0.000 0.000 0.000
Cd 0.500 0.500 0.500
Ag 0.750 0.750 0.750
Pt 0.250 0.250 0.250

Here is a relaxed SrCdAg2Pt crystal from Alexandria. Energies are from PBE-GGA.

Calculated values
volume	23.4	Å³/atom
VASP energy	-16.08	eV per cell
M_tot	0.0	μB/f.u.
symmetry	Imm2
formation energy	-33.5	kJ/mol of atoms

a = 7.132 Å, b = 7.132 Å, c = 7.132 Å
α = 145.79°, β = 144.79°, γ = 49.91°
Fractional coordinates of all 5 atoms:
Sr 0.000 0.000 0.000
Cd 0.270 0.770 0.500
Ag 0.624 0.624 0.000
Ag 0.773 0.273 0.500
Pt 0.417 0.417 0.000

Here is a relaxed TlCdAgPt crystal from Alexandria. Energies are from PBE-GGA.

Calculated values
volume	19.5	Å³/atom
VASP energy	-12.21	eV per cell
M_tot	0.0	μB/f.u.
symmetry	F-43m
formation energy	-0.9	kJ/mol of atoms

a = 4.798 Å, b = 4.798 Å, c = 4.798 Å
α = 60.00°, β = 60.00°, γ = 60.00°
Fractional coordinates of all 4 atoms:
Tl 0.000 0.000 0.000
Cd 0.500 0.500 0.500
Ag 0.750 0.750 0.750
Pt 0.250 0.250 0.250

Here is a relaxed Tm4CdAg2Pt crystal from Alexandria. Energies are from PBE-GGA.

Calculated values
volume	22.8	Å³/atom
VASP energy	-35.31	eV per cell
M_tot	0.0	μB/f.u.
symmetry	R-3m
formation energy	-57.5	kJ/mol of atoms

a = 8.748 Å, b = 8.748 Å, c = 8.748 Å
α = 33.58°, β = 33.58°, γ = 33.58°
Fractional coordinates of all 8 atoms:
Tm 0.117 0.117 0.117
Tm 0.369 0.369 0.369
Tm 0.631 0.631 0.631
Tm 0.883 0.883 0.883
Cd 0.500 0.500 0.500
Ag 0.242 0.242 0.242
Ag 0.758 0.758 0.758
Pt 0.000 0.000 0.000

Here is a relaxed YCdAgPt crystal from Alexandria. Energies are from PBE-GGA.

Calculated values
volume	20.5	Å³/atom
VASP energy	-18.60	eV per cell
M_tot	0.0	μB/f.u.
symmetry	F-43m
formation energy	-56.1	kJ/mol of atoms

a = 4.873 Å, b = 4.873 Å, c = 4.873 Å
α = 60.00°, β = 60.00°, γ = 60.00°
Fractional coordinates of all 4 atoms:
Y 0.000 0.000 0.000
Cd 0.500 0.500 0.500
Ag 0.250 0.250 0.250
Pt 0.750 0.750 0.750

Here is a relaxed ZrCdAgPt crystal from Alexandria. Energies are from PBE-GGA.

Calculated values
volume	18.7	Å³/atom
VASP energy	-20.08	eV per cell
M_tot	0.0	μB/f.u.
symmetry	F-43m
formation energy	-41.5	kJ/mol of atoms

a = 4.733 Å, b = 4.733 Å, c = 4.733 Å
α = 60.00°, β = 60.00°, γ = 60.00°
Fractional coordinates of all 4 atoms:
Zr 0.000 0.000 0.000
Cd 0.500 0.500 0.500
Ag 0.250 0.250 0.250
Pt 0.750 0.750 0.750

Here is a relaxed ZrCdAg2Pt crystal from Alexandria. Energies are from PBE-GGA.

Calculated values
volume	26.0	Å³/atom
VASP energy	-19.30	eV per cell
M_tot	0.0	μB/f.u.
symmetry	P4/mmm
formation energy	36.8	kJ/mol of atoms

a = 5.148 Å, b = 5.148 Å, c = 4.905 Å
α = 90.00°, β = 90.00°, γ = 90.00°
Fractional coordinates of all 5 atoms:
Zr 0.000 0.000 0.000
Cd 0.500 0.500 0.000
Ag 0.000 0.500 0.500
Ag 0.500 0.000 0.500
Pt 0.000 0.000 0.500

Here is a relaxed PuCd3Ag crystal from Alexandria. Energies are from PBE-GGA.

Calculated values
volume	23.6	Å³/atom
VASP energy	-40.12	eV per cell
M_tot	6.0	μB/f.u.
symmetry	P2_1/m
formation energy	-2.5	kJ/mol of atoms

a = 5.989 Å, b = 5.870 Å, c = 6.717 Å
α = 90.00°, β = 90.51°, γ = 90.00°
Fractional coordinates of all 10 atoms:
Pu 0.131 0.250 0.371
Pu 0.869 0.750 0.629
Cd 0.075 0.750 0.120
Cd 0.356 0.001 0.821
Cd 0.356 0.499 0.821
Cd 0.644 0.501 0.179
Cd 0.644 0.999 0.179
Cd 0.925 0.250 0.880
Ag 0.366 0.750 0.454
Ag 0.634 0.250 0.546